Ho4PuN4 | GGA-PBE | relaxed

Computed properties:
Its energy above the most stable polymorph in this dataset is 0.0000 eV per atom. The symmetry is I4/m (87). The total energy is -8.724 eV/atom. As for the density of states at the Fermi level: 9.1 states/eV per cell. As for the formation energy without anion corrections: -1.40 eV/atom.

Lattice parameters (Å, degrees): 4.883 6.019 6.019 80.53 66.06 66.06
Each line ends with the local moment (μB).
Sites, in units of the cell vectors:
Ho1 0.606 0.583 0.204  0.11
Ho2 0.394 0.417 0.796  0.11
Ho3 0.190 0.204 0.417  0.11
Ho4 0.810 0.796 0.583  0.11
Pu1 0.000 0.000 0.000  4.90
N1 0.903 0.395 0.800  -0.06
N2 0.097 0.605 0.200  -0.06
N3 0.297 0.800 0.605  -0.06
N4 0.703 0.200 0.395  -0.06


HoPuN | GGA-PBE | relaxed

Computed properties:
Its energy above the most stable polymorph in this dataset is 0.0000 eV per atom. The symmetry is P3m1 (156). The total energy is -9.925 eV/atom. As for the density of states at the Fermi level: 5.1 states/eV per cell. As for the formation energy without anion corrections: -0.85 eV/atom.

Lattice parameters (Å, degrees): 3.422 3.422 6.101 90.00 90.00 120.00
Each line ends with the local moment (μB).
Sites, in units of the cell vectors:
N1 0.667 0.333 0.329  -0.09
Ho1 0.000 0.000 0.108  0.27
Pu1 0.333 0.667 0.562  5.35